# 1
{"formula": "As2HOsBr", "functional": "GGA-PBE", "state": "relaxed", "magmom_total_mub_per_fu": 0.0, "energy_ev_per_cell": -19.88, "volume_a3_per_cell": 75.74, "lattice_angstrom": [[3.9705, 0.0000, 0.0000], [0.0000, 3.9705, 0.0000], [0.0000, 0.0000, 4.8044]], "species": ["As", "As", "H", "Os", "Br"], "fractional_positions": [[0.0000, 0.5000, 0.0000], [0.5000, 0.0000, 0.0000], [0.0000, 0.0000, 0.0000], [0.5000, 0.5000, 0.5000], [0.0000, 0.0000, 0.5000]]}



# 2
{"formula": "AsHOsBr2", "functional": "GGA-PBE", "state": "relaxed", "magmom_total_mub_per_fu": 1.6, "energy_ev_per_cell": -18.27, "volume_a3_per_cell": 130.65, "lattice_angstrom": [[5.3033, 0.0000, 0.0000], [0.0000, 5.3033, 0.0000], [0.0000, 0.0000, 4.6451]], "species": ["As", "H", "Os", "Br", "Br"], "fractional_positions": [[0.0000, 0.0000, 0.0000], [0.5000, 0.5000, 0.0000], [0.0000, 0.0000, 0.5000], [0.0000, 0.5000, 0.5000], [0.5000, 0.0000, 0.5000]]}



# 3
{"formula": "As2PHBr", "functional": "GGA-PBE", "state": "relaxed", "magmom_total_mub_per_fu": 0.0, "energy_ev_per_cell": -15.51, "volume_a3_per_cell": 87.90, "lattice_angstrom": [[3.9871, 0.0000, 0.0000], [0.0000, 3.9871, 0.0000], [0.0000, 0.0000, 5.5294]], "species": ["As", "As", "P", "H", "Br"], "fractional_positions": [[0.0000, 0.5000, 0.0000], [0.5000, 0.0000, 0.0000], [0.0000, 0.0000, 0.5000], [0.5000, 0.5000, 0.0000], [0.5000, 0.5000, 0.5000]]}



# 4
{"formula": "As2PHBr", "functional": "GGA-PBE", "state": "relaxed", "magmom_total_mub_per_fu": 0.8, "energy_ev_per_cell": -14.63, "volume_a3_per_cell": 124.09, "lattice_angstrom": [[4.7521, 0.0000, 0.0000], [0.0000, 4.7521, 0.0000], [0.0000, 0.0000, 5.4951]], "species": ["As", "As", "P", "H", "Br"], "fractional_positions": [[0.0000, 0.5000, 0.0000], [0.5000, 0.0000, 0.0000], [0.0000, 0.0000, 0.0000], [0.5000, 0.5000, 0.5000], [0.0000, 0.0000, 0.5000]]}